CsRb2NiBr6 | PBE | optimized geometry

Results
As for the space group: Fm-3m (225). For the density of states at the Fermi level, the calculation gives 6.12 states/eV per cell. The uncorrected formation energy comes out at -1.074 eV per atom. For the magnetic moment, the calculation gives 0.1000 μB per atom.

Cell: 8.2145 8.2145 8.2145 Å, 60.00 60.00 60.00°
With the nearest neighbours (Å) after each atom.
Sites, in units of the cell vectors:
1 Cs 0.0000 0.0000 0.0000  6 Br 3.33
2 Rb 0.2500 0.2500 0.2500  12 Br 4.13
3 Rb 0.7500 0.7500 0.7500  12 Br 4.13
4 Ni 0.5000 0.5000 0.5000  6 Br 2.47
5 Br 0.2870 0.2870 0.7130  1 Ni 2.47
6 Br 0.2870 0.7130 0.2870  1 Ni 2.47
7 Br 0.2870 0.7130 0.7130  1 Ni 2.47
8 Br 0.7130 0.2870 0.2870  1 Ni 2.47
9 Br 0.7130 0.2870 0.7130  1 Ni 2.47
10 Br 0.7130 0.7130 0.2870  1 Ni 2.47